Record 1
! SCAN InSbPb2, single point on PBEsol structure; values from VASP
&SYSTEM
  ibrav = 0, nat = 4, ntyp = 3
/
ATOMIC_SPECIES
In 114.82 In.upf
Sb 121.76 Sb.upf
Pb 207.20 Pb.upf
ATOMIC_POSITIONS angstrom
In 0.0000 0.0000 0.0000
Sb 0.0000 2.5960 2.8411
Pb 2.0724 0.0000 2.6744
Pb 0.0000 0.0000 5.5412
CELL_PARAMETERS angstrom
-2.0724 2.5960 5.2249
2.0724 -2.5960 5.2249
2.0724 2.5960 -5.2249
! SG   Imm2 (44)
! Relative energy among the computed polymorphs   0 meV per atom
! Crystal system   orthorhombic
! Formation energy without anion corrections   0.07 eV per atom
! Fermi-level density of states   0.469 states/eV/atom

***

Record 2
! SCAN In2SbPb, single point on PBEsol structure; values from VASP
&SYSTEM
  ibrav = 0, nat = 4, ntyp = 3
/
ATOMIC_SPECIES
In 114.82 In.upf
Sb 121.76 Sb.upf
Pb 207.20 Pb.upf
ATOMIC_POSITIONS angstrom
In 0.0000 0.0000 0.0000
In 2.2101 2.3992 0.0000
Sb 0.0000 2.3992 2.5669
Pb 2.2101 0.0000 2.5669
CELL_PARAMETERS angstrom
4.4202 0.0000 0.0000
0.0000 4.7985 0.0000
0.0000 0.0000 5.1337
! SG   Pmmm (47)
! Relative energy among the computed polymorphs   8 meV per atom
! Crystal system   orthorhombic
! Formation energy without anion corrections   0.08 eV per atom
! Fermi-level density of states   0.416 states/eV/atom

***

Record 3
! SCAN In2SbPb, single point on PBEsol structure; values from VASP
&SYSTEM
  ibrav = 0, nat = 4, ntyp = 3
/
ATOMIC_SPECIES
In 114.82 In.upf
Sb 121.76 Sb.upf
Pb 207.20 Pb.upf
ATOMIC_POSITIONS angstrom
In 0.0000 0.0000 0.0000
In 1.9673 1.9673 1.7054
Sb 1.9673 1.9673 5.4262
Pb 0.0000 0.0000 3.5753
CELL_PARAMETERS angstrom
3.9345 0.0000 0.0000
0.0000 3.9345 0.0000
0.0000 0.0000 6.9707
! SG   P4mm (99)
! Relative energy among the computed polymorphs   0 meV per atom
! Crystal system   tetragonal
! Formation energy without anion corrections   0.08 eV per atom
! Fermi-level density of states   0.439 states/eV/atom

***

Record 4
! SCAN ScIn2Pb, single point on PBEsol structure; values from VASP
&SYSTEM
  ibrav = 0, nat = 4, ntyp = 3
/
ATOMIC_SPECIES
Sc 44.96 Sc.upf
In 114.82 In.upf
Pb 207.20 Pb.upf
ATOMIC_POSITIONS angstrom
Sc 0.0000 0.0000 0.0000
In 0.0000 0.0000 4.8734
In 0.0000 2.1923 2.4367
Pb 2.1923 0.0000 2.4367
CELL_PARAMETERS angstrom
-2.1923 2.1923 4.8734
2.1923 -2.1923 4.8734
2.1923 2.1923 -4.8734
! SG   I-4m2 (119)
! Crystal system   tetragonal
! ΔH_f (0 K)   -0.313 eV per atom
! Fermi-level density of states   0.507 states/eV/atom

***

Record 5
! SCAN ScIn2Pb, single point on PBEsol structure; values from VASP
&SYSTEM
  ibrav = 0, nat = 4, ntyp = 3
/
ATOMIC_SPECIES
Sc 44.96 Sc.upf
In 114.82 In.upf
Pb 207.20 Pb.upf
ATOMIC_POSITIONS angstrom
Sc 0.0000 0.0000 0.0000
In 0.0000 0.0000 3.1190
In 1.7521 2.1600 1.5762
Pb 1.7521 2.1600 4.8674
CELL_PARAMETERS angstrom
3.5041 0.0000 0.0000
0.0000 4.3199 0.0000
0.0000 0.0000 6.3695
! SG   Pmm2 (25)
! Crystal system   orthorhombic
! ΔH_f (0 K)   -0.248 eV per atom
! Fermi-level density of states   0.633 states/eV/atom

***

Record 6
! SCAN ScInPb2, single point on PBEsol structure; values from VASP
&SYSTEM
  ibrav = 0, nat = 4, ntyp = 3
/
ATOMIC_SPECIES
Sc 44.96 Sc.upf
In 114.82 In.upf
Pb 207.20 Pb.upf
ATOMIC_POSITIONS angstrom
Sc 0.0000 0.0000 0.0000
In 2.3541 2.3541 0.0000
Pb 0.0000 2.3541 2.2407
Pb 2.3541 0.0000 2.2407
CELL_PARAMETERS angstrom
4.7082 0.0000 0.0000
0.0000 4.7082 0.0000
0.0000 0.0000 4.4813
! SG   P4/mmm (123)
! Crystal system   tetragonal
! ΔH_f (0 K)   -0.275 eV per atom
! Fermi-level density of states   0.510 states/eV/atom

***

Record 7
! SCAN ScInPb3, single point on PBEsol structure; values from VASP
&SYSTEM
  ibrav = 0, nat = 5, ntyp = 3
/
ATOMIC_SPECIES
Sc 44.96 Sc.upf
In 114.82 In.upf
Pb 207.20 Pb.upf
ATOMIC_POSITIONS angstrom
Sc 0.0000 0.0000 0.0000
In 2.7809 2.7809 2.7809
Pb 0.0000 2.7809 2.7809
Pb 2.7809 0.0000 2.7809
Pb 2.7809 2.7809 0.0000
CELL_PARAMETERS angstrom
5.5618 0.0000 0.0000
0.0000 5.5618 0.0000
0.0000 0.0000 5.5618
! SG   Pm-3m (221)
! Crystal system   cubic
! ΔH_f (0 K)   0.607 eV per atom
! Fermi-level density of states   0.815 states/eV/atom

***

Record 8
! SCAN ScInPb2, single point on PBEsol structure; values from VASP
&SYSTEM
  ibrav = 0, nat = 4, ntyp = 3
/
ATOMIC_SPECIES
Sc 44.96 Sc.upf
In 114.82 In.upf
Pb 207.20 Pb.upf
ATOMIC_POSITIONS angstrom
Sc 0.0000 0.0000 0.0000
In 1.7320 2.2963 1.5789
Pb 0.0000 0.0000 3.1233
Pb 1.7320 2.2963 4.9593
CELL_PARAMETERS angstrom
3.4641 0.0000 0.0000
0.0000 4.5926 0.0000
0.0000 0.0000 6.3704
! SG   Pmm2 (25)
! Crystal system   orthorhombic
! ΔH_f (0 K)   -0.221 eV per atom
! Fermi-level density of states   0.560 states/eV/atom

***

Look up the Fermi-level density of states of the seventh one.
0.815 states/eV/atom

***

The lowest Fermi-level density of states belongs to which entry?
number 2

***

Fermi-level density of states of number 7 (ScInPb3)?
0.815 states/eV/atom

***

Repeat the second record exactly.
! SCAN In2SbPb, single point on PBEsol structure; values from VASP
&SYSTEM
  ibrav = 0, nat = 4, ntyp = 3
/
ATOMIC_SPECIES
In 114.82 In.upf
Sb 121.76 Sb.upf
Pb 207.20 Pb.upf
ATOMIC_POSITIONS angstrom
In 0.0000 0.0000 0.0000
In 2.2101 2.3992 0.0000
Sb 0.0000 2.3992 2.5669
Pb 2.2101 0.0000 2.5669
CELL_PARAMETERS angstrom
4.4202 0.0000 0.0000
0.0000 4.7985 0.0000
0.0000 0.0000 5.1337
! SG   Pmmm (47)
! Relative energy among the computed polymorphs   8 meV per atom
! Crystal system   orthorhombic
! Formation energy without anion corrections   0.08 eV per atom
! Fermi-level density of states   0.416 states/eV/atom